P) DFT (PBE) results for a relaxed structure of GdMgGa.

Geometry as POSCAR:
```
GdMgGa
1.0
3.581 0.000 0.000
0.000 4.736 0.000
0.000 -2.368 4.102
Mg Gd Ga
1 1 1
Direct
0.167 0.667 0.333 Mg
0.667 0.333 0.667 Gd
0.167 0.000 0.000 Ga
```

Space-group type: P-6m2, No. 187
Mass density in g/cm³: 6.0
Crystal system: hexagonal

***

Q) DFT (PBE) results for a relaxed structure of GdMgGa.

Geometry as POSCAR:
```
GdMgGa
1.0
7.328 0.000 0.000
-3.664 6.346 0.000
0.000 0.000 4.464
Gd Mg Ga
3 3 3
Direct
0.424 0.424 0.000 Gd
0.000 0.576 0.000 Gd
0.576 0.000 0.000 Gd
0.243 0.000 0.500 Mg
0.757 0.757 0.500 Mg
0.000 0.243 0.500 Mg
0.000 0.000 0.000 Ga
0.667 0.333 0.500 Ga
0.333 0.667 0.500 Ga
```

Space-group type: P-62m, No. 189
Mass density in g/cm³: 6.0
Crystal system: hexagonal

***

If we sort the structures by their calculated energies, the order from most to least stable is Q), P).

***

P) DFT (PBE) results for a relaxed structure of GdMgGa.

Geometry as POSCAR:
```
GdMgGa
1.0
-3.990 -1.477 2.192
-1.114 -4.654 0.060
0.290 -2.478 4.084
Mg Gd Ga
1 1 1
Direct
0.500 0.500 0.500 Mg
0.000 0.000 0.000 Gd
0.250 0.250 0.250 Ga
```

Space-group type: F-43m, No. 216
Mass density in g/cm³: 5.4
Crystal system: cubic

***

Q) DFT (PBE) results for a relaxed structure of GdMgGa.

Geometry as POSCAR:
```
GdMgGa
1.0
3.380 0.000 0.000
0.000 3.380 0.000
-1.690 -1.690 6.140
Mg Gd Ga
1 1 1
Direct
0.928 0.928 0.856 Mg
0.631 0.631 0.263 Gd
0.291 0.291 0.582 Ga
```

Space-group type: I4mm, No. 107
Mass density in g/cm³: 5.9
Crystal system: tetragonal

***

If we sort the structures by their calculated energies, the order from most to least stable is P), Q).

***

P) DFT (PBE) results for a relaxed structure of NaGdGa2.

Geometry as POSCAR:
```
NaGdGa2
1.0
-1.163 0.740 -3.420
2.739 -3.788 -1.751
-3.864 -3.092 0.645
Na Gd Ga
1 1 2
Direct
0.500 0.000 0.000 Na
0.500 0.500 0.500 Gd
0.000 0.000 0.500 Ga
0.000 0.500 0.000 Ga
```

Space-group type: P4/mmm, No. 123
Mass density in g/cm³: 5.8
Crystal system: tetragonal

***

Q) DFT (PBE) results for a relaxed structure of NaGdGa2.

Geometry as POSCAR:
```
NaGdGa2
1.0
5.039 0.000 0.000
2.520 4.364 0.000
2.520 1.455 4.115
Na Gd Ga
1 1 2
Direct
0.500 0.500 0.500 Na
0.000 0.000 0.000 Gd
0.250 0.250 0.250 Ga
0.750 0.750 0.750 Ga
```

Space-group type: Fm-3m, No. 225
Mass density in g/cm³: 5.9
Crystal system: cubic

***

If we sort the structures by their calculated energies, the order from most to least stable is P), Q).

***

P) DFT (PBE) results for a relaxed structure of NdGdGa.

Geometry as POSCAR:
```
NdGdGa
1.0
-1.924 3.006 3.595
-4.156 -1.415 2.528
0.334 -1.345 4.873
Gd Nd Ga
1 1 1
Direct
0.000 0.000 0.000 Gd
0.500 0.500 0.500 Nd
0.250 0.250 0.250 Ga
```

Space-group type: F-43m, No. 216
Mass density in g/cm³: 6.7
Crystal system: cubic

***

Q) DFT (PBE) results for a relaxed structure of NdGdGa.

Geometry as POSCAR:
```
NdGdGa
1.0
3.783 0.000 0.000
0.000 5.016 0.000
0.000 -2.508 4.344
Gd Nd Ga
1 1 1
Direct
0.933 0.000 0.000 Gd
0.374 0.333 0.667 Nd
0.693 0.667 0.333 Ga
```

Space-group type: P3m1, No. 156
Mass density in g/cm³: 7.5
Crystal system: trigonal

***

If we sort the structures by their calculated energies, the order from most to least stable is Q), P).

***

P) DFT (PBE) results for a relaxed structure of NdGdGa2.

Geometry as POSCAR:
```
NdGdGa2
1.0
-3.464 -3.826 0.286
1.278 -4.765 -1.546
0.599 -3.774 3.482
Gd Nd Ga
1 1 2
Direct
0.000 0.000 0.000 Gd
0.500 0.500 0.500 Nd
0.250 0.250 0.250 Ga
0.750 0.750 0.750 Ga
```

Space-group type: Fm-3m, No. 225
Mass density in g/cm³: 7.5
Crystal system: cubic

***

Q) DFT (PBE) results for a relaxed structure of NdGdGa2.

Geometry as POSCAR:
```
NdGdGa2
1.0
3.755 0.000 0.000
1.878 3.252 0.000
1.878 1.084 8.840
Gd Nd Ga
1 1 2
Direct
0.000 0.000 0.000 Gd
0.500 0.500 0.500 Nd
0.748 0.748 0.755 Ga
0.252 0.252 0.245 Ga
```

Space-group type: R-3m, No. 166
Mass density in g/cm³: 6.8
Crystal system: trigonal

***

R) DFT (PBE) results for a relaxed structure of NdGdGa2.

Geometry as POSCAR:
```
NdGdGa2
1.0
3.650 0.000 0.000
0.000 3.650 0.000
0.000 0.000 7.320
Gd Nd Ga
1 1 2
Direct
0.500 0.500 0.000 Gd
0.500 0.500 0.500 Nd
0.000 0.000 0.759 Ga
0.000 0.000 0.241 Ga
```

Space-group type: P4/mmm, No. 123
Mass density in g/cm³: 7.5
Crystal system: tetragonal

***

If we sort the structures by their calculated energies, the order from most to least stable is R), P), Q).

***

P) DFT (PBE) results for a relaxed structure of Gd2PaGa.

Geometry as POSCAR:
```
Gd2PaGa
1.0
3.434 0.000 0.000
0.000 3.434 0.000
0.000 0.000 8.760
Gd Pa Ga
2 1 1
Direct
0.000 0.000 0.777 Gd
0.000 0.000 0.223 Gd
0.500 0.500 0.500 Pa
0.500 0.500 0.000 Ga
```

Space-group type: P4/mmm, No. 123
Mass density in g/cm³: 9.9
Crystal system: tetragonal

***

Q) DFT (PBE) results for a relaxed structure of Gd2PaGa.

Geometry as POSCAR:
```
Gd2PaGa
1.0
-1.754 -0.331 -4.930
-4.617 -2.278 -0.993
-4.083 2.910 -1.530
Gd Pa Ga
2 1 1
Direct
0.250 0.250 0.250 Gd
0.750 0.750 0.750 Gd
0.000 0.000 0.000 Pa
0.500 0.500 0.500 Ga
```

Space-group type: Fm-3m, No. 225
Mass density in g/cm³: 10.0
Crystal system: cubic

***

R) DFT (PBE) results for a relaxed structure of Gd2PaGa.

Geometry as POSCAR:
```
Gd2PaGa
1.0
3.458 0.000 0.000
1.729 2.995 0.000
1.729 0.998 10.163
Gd Pa Ga
2 1 1
Direct
0.756 0.756 0.733 Gd
0.244 0.244 0.267 Gd
0.000 0.000 0.000 Pa
0.500 0.500 0.500 Ga
```

Space-group type: R-3m, No. 166
Mass density in g/cm³: 9.7
Crystal system: trigonal

***

If we sort the structures by their calculated energies, the order from most to least stable is P), R), Q).

***

P) DFT (PBE) results for a relaxed structure of PrGdGa.

Geometry as POSCAR:
```
PrGdGa
1.0
-0.165 2.837 2.550
-4.946 -0.750 0.514
3.237 -2.466 2.954
Pr Gd Ga
1 1 1
Direct
0.964 0.000 0.000 Pr
0.405 0.667 0.333 Gd
0.631 0.333 0.667 Ga
```

Space-group type: P3m1, No. 156
Mass density in g/cm³: 7.3
Crystal system: trigonal

***

Q) DFT (PBE) results for a relaxed structure of PrGdGa.

Geometry as POSCAR:
```
PrGdGa
1.0
3.708 0.000 0.000
0.000 3.708 0.000
-1.854 -1.854 6.158
Pr Gd Ga
1 1 1
Direct
0.019 0.019 0.039 Pr
0.309 0.309 0.618 Gd
0.672 0.672 0.344 Ga
```

Space-group type: I4mm, No. 107
Mass density in g/cm³: 7.2
Crystal system: tetragonal

***

If we sort the structures by their calculated energies, the order from most to least stable is Q), P).

***

P) DFT (PBE) results for a relaxed structure of Pr2GdGa.

Geometry as POSCAR:
```
Pr2GdGa
1.0
5.478 0.000 0.000
2.739 4.744 0.000
2.739 1.581 4.472
Pr Gd Ga
2 1 1
Direct
0.250 0.250 0.250 Pr
0.750 0.750 0.750 Pr
0.000 0.000 0.000 Gd
0.500 0.500 0.500 Ga
```

Space-group type: Fm-3m, No. 225
Mass density in g/cm³: 7.3
Crystal system: cubic

***

Q) DFT (PBE) results for a relaxed structure of Pr2GdGa.

Geometry as POSCAR:
```
Pr2GdGa
1.0
4.831 0.000 0.000
0.000 4.877 0.000
0.000 0.000 4.877
Pr Gd Ga
2 1 1
Direct
0.000 0.000 0.500 Pr
0.000 0.500 0.000 Pr
0.500 0.500 0.500 Gd
0.500 0.000 0.000 Ga
```

Space-group type: P4/mmm, No. 123
Mass density in g/cm³: 7.4
Crystal system: tetragonal

***

If we sort the structures by their calculated energies, the order from most to least stable is Q), P).

***

P) DFT (PBE) results for a relaxed structure of Gd2GaSb.

Geometry as POSCAR:
```
Gd2GaSb
1.0
-1.290 -3.421 3.805
3.786 -2.499 2.695
0.884 1.224 5.059
Sb Gd Ga
1 2 1
Direct
0.000 0.000 0.000 Sb
0.750 0.750 0.750 Gd
0.250 0.250 0.250 Gd
0.500 0.500 0.500 Ga
```

Space-group type: Fm-3m, No. 225
Mass density in g/cm³: 8.1
Crystal system: cubic

***

Q) DFT (PBE) results for a relaxed structure of Gd2GaSb.

Geometry as POSCAR:
```
Gd2GaSb
1.0
-0.096 3.298 2.144
-3.927 -0.209 0.145
0.398 -3.617 5.582
Sb Gd Ga
1 2 1
Direct
0.500 0.500 0.000 Sb
0.000 0.000 0.748 Gd
0.000 0.000 0.252 Gd
0.500 0.500 0.500 Ga
```

Space-group type: P4/mmm, No. 123
Mass density in g/cm³: 8.1
Crystal system: tetragonal

***

If we sort the structures by their calculated energies, the order from most to least stable is Q), P).

***

P) DFT (PBE) results for a relaxed structure of GdGaSb2.

Geometry as POSCAR:
```
GdGaSb2
1.0
3.695 0.000 0.000
1.847 3.200 0.000
1.847 1.067 9.906
Sb Gd Ga
2 1 1
Direct
0.104 0.104 0.687 Sb
0.896 0.896 0.313 Sb
0.000 0.000 0.000 Gd
0.500 0.500 0.500 Ga
```

Space-group type: R-3m, No. 166
Mass density in g/cm³: 6.7
Crystal system: trigonal

***

Q) DFT (PBE) results for a relaxed structure of GdGaSb2.

Geometry as POSCAR:
```
GdGaSb2
1.0
-3.762 2.204 -0.941
-1.683 -3.830 -2.241
-1.915 -1.535 4.062
Sb Gd Ga
2 1 1
Direct
0.000 0.000 0.500 Sb
0.000 0.500 0.000 Sb
0.500 0.000 0.000 Gd
0.500 0.500 0.500 Ga
```

Space-group type: P4/mmm, No. 123
Mass density in g/cm³: 7.8
Crystal system: tetragonal

***

If we sort the structures by their calculated energies, the order from most to least stable is Q), P).

***

P) DFT (PBE) results for a relaxed structure of GdGaSb.

Geometry as POSCAR:
```
GdGaSb
1.0
3.775 0.000 0.000
0.000 3.775 0.000
-1.888 -1.888 5.177
Sb Gd Ga
1 1 1
Direct
0.970 0.970 0.941 Sb
0.283 0.283 0.567 Gd
0.596 0.596 0.192 Ga
```

Space-group type: I4mm, No. 107
Mass density in g/cm³: 7.8
Crystal system: tetragonal

***

Q) DFT (PBE) results for a relaxed structure of GdGaSb.

Geometry as POSCAR:
```
GdGaSb
1.0
4.011 0.000 0.000
0.000 4.694 0.000
0.000 -2.347 4.065
Sb Gd Ga
1 1 1
Direct
0.233 0.333 0.667 Sb
0.692 0.667 0.333 Gd
0.075 0.000 0.000 Ga
```

Space-group type: P3m1, No. 156
Mass density in g/cm³: 7.6
Crystal system: trigonal

***

If we sort the structures by their calculated energies, the order from most to least stable is Q), P).

***

P) DFT (PBE) results for a relaxed structure of GdScGa.

Geometry as POSCAR:
```
GdScGa
1.0
3.450 0.000 0.000
0.000 3.450 0.000
-1.725 -1.725 6.033
Sc Gd Ga
1 1 1
Direct
0.310 0.310 0.619 Sc
0.013 0.013 0.025 Gd
0.678 0.678 0.356 Ga
```

Space-group type: I4mm, No. 107
Mass density in g/cm³: 6.3
Crystal system: tetragonal

***

Q) DFT (PBE) results for a relaxed structure of GdScGa.

Geometry as POSCAR:
```
GdScGa
1.0
-1.220 0.868 4.607
-1.150 -3.678 2.935
3.004 -1.271 3.582
Sc Gd Ga
1 1 1
Direct
0.000 0.000 0.000 Sc
0.500 0.500 0.500 Gd
0.250 0.250 0.250 Ga
```

Space-group type: F-43m, No. 216
Mass density in g/cm³: 5.6
Crystal system: cubic

***

If we sort the structures by their calculated energies, the order from most to least stable is P), Q).

***

P) DFT (PBE) results for a relaxed structure of GdSc2Ga.

Geometry as POSCAR:
```
GdSc2Ga
1.0
3.335 0.000 0.000
0.000 3.335 0.000
0.000 0.000 8.485
Sc Gd Ga
2 1 1
Direct
0.000 0.000 0.796 Sc
0.000 0.000 0.204 Sc
0.500 0.500 0.500 Gd
0.500 0.500 0.000 Ga
```

Space-group type: P4/mmm, No. 123
Mass density in g/cm³: 5.6
Crystal system: tetragonal

***

Q) DFT (PBE) results for a relaxed structure of GdSc2Ga.

Geometry as POSCAR:
```
GdSc2Ga
1.0
5.052 0.000 0.000
2.526 4.375 0.000
2.526 1.458 4.126
Sc Gd Ga
2 1 1
Direct
0.250 0.250 0.250 Sc
0.750 0.750 0.750 Sc
0.500 0.500 0.500 Gd
0.000 0.000 0.000 Ga
```

Space-group type: Fm-3m, No. 225
Mass density in g/cm³: 5.8
Crystal system: cubic

***

If we sort the structures by their calculated energies, the order from most to least stable is P), Q).

***

P) DFT (PBE) results for a relaxed structure of Gd2ScGa.

Geometry as POSCAR:
```
Gd2ScGa
1.0
3.406 0.000 0.000
1.703 2.950 0.000
1.703 0.983 11.465
Sc Gd Ga
1 2 1
Direct
0.500 0.500 0.500 Sc
0.088 0.088 0.736 Gd
0.912 0.912 0.264 Gd
0.000 0.000 0.000 Ga
```

Space-group type: R-3m, No. 166
Mass density in g/cm³: 6.2
Crystal system: trigonal

***

Q) DFT (PBE) results for a relaxed structure of Gd2ScGa.

Geometry as POSCAR:
```
Gd2ScGa
1.0
-3.420 -2.949 -0.875
2.891 -3.583 0.779
-1.181 0.029 4.517
Sc Gd Ga
1 2 1
Direct
0.500 0.500 0.500 Sc
0.000 0.000 0.500 Gd
0.000 0.500 0.000 Gd
0.500 0.000 0.000 Ga
```

Space-group type: P4/mmm, No. 123
Mass density in g/cm³: 7.1
Crystal system: tetragonal

***

If we sort the structures by their calculated energies, the order from most to least stable is Q), P).